one) Compound: Mo2IrRh
Source: the Alexandria database
Functional: GGA-PBE
Structure: relaxed

Properties
Spin magnetization, μB per formula unit: 0.00
Density of states at the Fermi level, states/eV per atom: 0.9320
Theoretical density, g cm⁻³: 13.26

Lattice parameters (Å, degrees): 2.7711 2.7711 27.5105 90.00 90.00 120.00
Space group R3m (No. 160, hexagonal axes)
Unique sites:
1 Mo 0.0000 0.0000 0.0000
2 Mo 0.0000 0.0000 0.2417
3 Ir 0.0000 0.0000 0.4971
4 Rh 0.0000 0.0000 0.7444


two) Compound: Mo2IrRh
Source: the Alexandria database
Functional: GGA-PBE
Structure: relaxed

Properties
Spin magnetization, μB per formula unit: 0.00
Density of states at the Fermi level, states/eV per atom: 1.6909
Theoretical density, g cm⁻³: 13.11

Lattice parameters (Å, degrees): 6.273 6.273 6.273 90.00 90.00 90.00
Space group Fm-3m (No. 225)
Unique sites:
1 Mo 0.250 0.250 0.250
2 Ir 0.000 0.000 0.000
3 Rh 0.000 0.000 0.500


Each structure's energy above the most stable one, in kJ/mol of atoms: one) 0.0; two) 29.1.


one) Compound: ZrTe2Mo
Source: the Alexandria database
Functional: GGA-PBE
Structure: relaxed

Properties
Spin magnetization, μB per formula unit: 0.00
Density of states at the Fermi level, states/eV per atom: 0.5225
Theoretical density, g cm⁻³: 7.38

Lattice parameters (Å, degrees): 3.588 3.588 7.729 90.00 90.00 90.00
Space group P4mm (No. 99)
Unique sites:
1 Zr 0.000 0.000 0.000
2 Te 0.000 0.000 0.387
3 Te 0.500 0.500 0.811
4 Mo 0.500 0.500 0.204


two) Compound: ZrTe2Mo
Source: the Alexandria database
Functional: GGA-PBE
Structure: relaxed

Properties
Spin magnetization, μB per formula unit: 0.02
Density of states at the Fermi level, states/eV per atom: 0.7605
Theoretical density, g cm⁻³: 8.33

Lattice parameters (Å, degrees): 3.418 4.781 10.787 90.00 90.00 90.00
Space group Imm2 (No. 44)
Unique sites:
1 Zr 0.000 0.000 0.000
2 Te 0.000 0.000 0.479
3 Te 0.000 0.500 0.264
4 Mo 0.000 0.500 0.781


Each structure's energy above the most stable one, in kJ/mol of atoms: one) 0.0; two) 25.4.